# 1
## ZrTl2 (PBE-GGA)

Data for ZrTl2 after structural relaxation.

Cell: 3.335 3.335 7.918 Å, 90.00 90.00 120.00°
Fractional positions:
Tl  0.667  0.333  0.674
Tl  0.333  0.667  0.326
Zr  0.000  0.000  0.000

Summary:
- formation energy (eV/f.u.) = 0.450
- crystal system = trigonal
- space-group type = No. 164

=====

# 2
## DyPb (PBE-GGA)

Data for DyPb after structural relaxation.

Cell: 4.451 4.451 4.451 Å, 60.00 60.00 60.00°
Fractional positions:
Pb  0.000  0.000  0.000
Dy  0.500  0.500  0.500

Summary:
- formation energy (eV/f.u.) = -0.663
- crystal system = cubic
- space-group type = No. 225